# 1
# LaZn2NiHg, relaxed, DFT PBE
# Formation energy   -0.212 eV/atom
# DOS(E_F)   2.3 states/eV/f.u.
# ΔE to the lowest computed polymorph   0 meV/atom
# Total magnetization   0.000 μB per cell
data_LaZn2NiHg
_symmetry_space_group_name_H-M 'P 4/m m m'
_symmetry_Int_Tables_number 123
_symmetry_space_group_name_Hall '-P 4 2'
_cell_length_a 4.7449
_cell_length_b 4.7449
_cell_length_c 4.9946
_cell_angle_alpha 90.00
_cell_angle_beta 90.00
_cell_angle_gamma 90.00
loop_
_atom_site_label
_atom_site_fract_x
_atom_site_fract_y
_atom_site_fract_z
La1 0.0000 0.0000 0.0000
Zn1 0.0000 0.5000 0.5000
Ni1 0.0000 0.0000 0.5000
Hg1 0.5000 0.5000 0.0000

# 2
# LaNpHgO6, relaxed, DFT PBE
# Total magnetization   0.000 μB per cell
# Formation energy (no corrections)   -2.267 eV per atom
data_LaNpHgO6
_symmetry_space_group_name_H-M 'P -3 1 c'
_symmetry_Int_Tables_number 163
_symmetry_space_group_name_Hall '-P 3 2c'
_cell_length_a 5.7173
_cell_length_b 5.7173
_cell_length_c 10.3979
_cell_angle_alpha 90.00
_cell_angle_beta 90.00
_cell_angle_gamma 120.00
loop_
_atom_site_label
_atom_site_fract_x
_atom_site_fract_y
_atom_site_fract_z
La1 0.0000 0.0000 0.0000
Np1 0.3333 0.6667 0.2500
Hg1 0.3333 0.6667 0.7500
O1 0.0501 0.3697 0.1362